Record 1
Li2CdIn | PBE-GGA | relaxed

```
Li2CdIn
1.0
-3.230 -5.313 1.253
2.769 1.998 -5.345
0.353 -2.828 5.667
Li Cd In
2 1 1
Direct
0.752 0.000 0.752
0.248 0.000 0.248
0.000 0.000 0.000
0.500 0.000 0.500
```

Calculated values
Space-group type: No. 71

***

Record 2
Ca3TlZn8 | PBE-GGA | relaxed

```
Ca3TlZn8
1.0
5.575 0.000 0.000
2.788 4.828 0.000
2.788 1.609 8.985
Ca Tl Zn
3 1 8
Direct
0.376 0.376 0.871
0.996 0.996 0.012
0.503 0.503 0.490
0.872 0.872 0.383
0.939 0.439 0.183
0.432 0.939 0.690
0.439 0.439 0.183
0.939 0.939 0.690
0.188 0.188 0.437
0.688 0.688 0.937
0.439 0.939 0.183
0.939 0.432 0.690
```

Calculated values
Space-group type: No. 160

***

Energy of formation for every record listed, in sequence, given in eV per atom: 0.051, -0.203.
N(E_F) for every record listed, in sequence, given in states/eV per cell: 1.46, 4.46.